## LiTl2W (PBE)

Data for a relaxed LiTl2W crystal.

```
LiTl2W
1.0
7.1239 0.0000 0.0000
0.0000 7.1427 0.0000
0.0000 0.0000 3.0832
Li Tl W
2 4 2
direct
0.0000 0.0000 0.0000
0.5000 0.5000 0.0000
0.2500 0.2500 0.5000
0.2500 0.7500 0.5000
0.7500 0.2500 0.5000
0.7500 0.7500 0.5000
0.0000 0.5000 0.0000
0.5000 0.0000 0.0000
```

Values from the calculation:
Space group   No. 65
E_form   0.5785 eV per atom
VASP energy   -17.286 eV per formula unit